Arrangement i

This record from Alexandria describes a relaxed Hf3VSi crystal. The functional is GGA-PBE.

Calculated values
As for the volume: 21.89 A^3/atom.

Unit cell a=4.784 b=4.784 c=4.784 alpha=90.00 beta=90.00 gamma=90.00
Positions (direct):
Si1 0.500 0.500 0.500
Hf1 0.000 0.000 0.500
Hf2 0.000 0.500 0.000
Hf3 0.500 0.000 0.000
V1 0.000 0.000 0.000

Arrangement ii

This record from Alexandria describes a relaxed Hf3VSi crystal. The functional is GGA-PBE.

Calculated values
As for the volume: 23.27 A^3/atom.

Unit cell a=4.882 b=4.882 c=4.882 alpha=90.00 beta=90.00 gamma=90.00
Each line ends with the local moment (μB).
Positions (direct):
V1 0.500 0.500 0.500  2.44
Si1 0.000 0.000 0.000  0.01
Hf1 0.000 0.000 0.500  -0.06
Hf2 0.500 0.000 0.000  -0.06
Hf3 0.000 0.500 0.000  -0.06

Most stable structure: arrangement ii

Arrangement i

This record from Alexandria describes a relaxed HfSi3W crystal. The functional is GGA-PBE.

Calculated values
As for the volume: 21.77 A^3/atom.

Unit cell a=4.775 b=4.775 c=4.775 alpha=90.00 beta=90.00 gamma=90.00
Positions (direct):
Si1 0.000 0.000 0.500
Si2 0.000 0.500 0.000
Si3 0.500 0.000 0.000
W1 0.500 0.500 0.500
Hf1 0.000 0.000 0.000

Arrangement ii

This record from Alexandria describes a relaxed HfSi3W crystal. The functional is GGA-PBE.

Calculated values
As for the volume: 20.48 A^3/atom.

Unit cell a=4.679 b=4.679 c=4.679 alpha=90.00 beta=90.00 gamma=90.00
Positions (direct):
W1 0.000 0.000 0.000
Hf1 0.500 0.500 0.500
Si1 0.500 0.000 0.000
Si2 0.000 0.500 0.000
Si3 0.000 0.000 0.500

Most stable structure: arrangement ii